A relaxed structure of Sr2ScZn2O6. Source: the Alexandria database, functional GGA-PBE.

a b c (Å): 5.929 5.929 6.492
angles (deg): 62.83 62.83 60.00
Element x y z (fractional)
Sc1 0.000 0.000 0.000
O1 0.220 0.762 0.257
O2 0.238 0.238 0.743
O3 0.238 0.780 0.743
O4 0.762 0.762 0.257
O5 0.762 0.220 0.257
O6 0.780 0.238 0.743
Zn1 0.417 0.417 0.749
Zn2 0.583 0.583 0.251
Sr1 0.794 0.794 0.617
Sr2 0.206 0.206 0.383

Calculated values
The calculation puts the density of states at the Fermi level at 6.82 states/eV per cell. The formation energy (no corrections) comes out at -23.46 eV/f.u.